Entry 1:
# PBE CsNdSnO3, optimized geometry
data_CsNdSnO3
_cell_length_a 7.392
_cell_length_b 3.605
_cell_length_c 11.169
_cell_angle_alpha 90.00
_cell_angle_beta 95.99
_cell_angle_gamma 90.00
_space_group_name_H-M_alt 'P 1 21/m 1'
_space_group_IT_number 11
_space_group_name_Hall '-P 2yb'
loop_
_atom_site_label
_atom_site_fract_x
_atom_site_fract_y
_atom_site_fract_z
Cs1 0.165 0.250 0.246
Nd1 0.383 0.750 0.876
Sn1 0.274 0.250 0.612
O1 0.191 0.250 0.788
O2 0.409 0.750 0.087
O3 0.432 0.750 0.661
# magnetization	0.000	μB/atom
# uncorrected formation energy	-204.88	kJ/mol of atoms


Entry 2:
# PBE Ba2RhSe, optimized geometry
data_Ba2RhSe
_cell_length_a 4.360
_cell_length_b 4.608
_cell_length_c 16.466
_cell_angle_alpha 90.00
_cell_angle_beta 90.00
_cell_angle_gamma 90.00
_space_group_name_H-M_alt 'I m m 2'
_space_group_IT_number 44
_space_group_name_Hall 'I 2 -2'
loop_
_atom_site_label
_atom_site_fract_x
_atom_site_fract_y
_atom_site_fract_z
Ba1 0.000 0.000 0.000
Ba2 0.000 0.500 0.218
Rh1 0.000 0.500 0.632
Se1 0.000 0.000 0.574
# magnetization	0.001	μB/atom
# uncorrected formation energy	-74.73	kJ/mol of atoms


Entry 3:
# PBE TeS2Cl, optimized geometry
data_TeS2Cl
_cell_length_a 3.8218
_cell_length_b 3.8218
_cell_length_c 24.5395
_cell_angle_alpha 90.00
_cell_angle_beta 90.00
_cell_angle_gamma 120.00
_space_group_name_H-M_alt 'R -3 m'
_space_group_IT_number 166
_space_group_name_Hall '-R 3 2"'
loop_
_atom_site_label
_atom_site_fract_x
_atom_site_fract_y
_atom_site_fract_z
Te1 0.0000 0.0000 0.0000
S1 0.0000 0.0000 0.4013
Cl1 0.0000 0.0000 0.5000
# magnetization	0.000	μB/atom
# polymorph energy (0 for the lowest one)	0.846	eV/f.u.
# uncorrected formation energy	18.07	kJ/mol of atoms


Entry 4:
# PBE MgAlSe2Br, optimized geometry
data_MgAlSe2Br
_cell_length_a 4.959
_cell_length_b 4.959
_cell_length_c 5.014
_cell_angle_alpha 90.00
_cell_angle_beta 90.00
_cell_angle_gamma 90.00
_space_group_name_H-M_alt 'P 4/m m m'
_space_group_IT_number 123
_space_group_name_Hall '-P 4 2'
loop_
_atom_site_label
_atom_site_fract_x
_atom_site_fract_y
_atom_site_fract_z
Mg1 0.000 0.000 0.000
Al1 0.500 0.500 0.500
Se1 0.000 0.500 0.500
Br1 0.500 0.500 0.000
# magnetization	0.000	μB/atom
# polymorph energy (0 for the lowest one)	0.000	eV/f.u.
# uncorrected formation energy	-35.67	kJ/mol of atoms


Entry 5:
# PBE Ba2LaCu3O7, optimized geometry
data_Ba2LaCu3O7
_cell_length_a 3.906
_cell_length_b 3.963
_cell_length_c 11.950
_cell_angle_alpha 90.00
_cell_angle_beta 90.00
_cell_angle_gamma 90.00
_space_group_name_H-M_alt 'P m m m'
_space_group_IT_number 47
_space_group_name_Hall '-P 2 2'
loop_
_atom_site_label
_atom_site_fract_x
_atom_site_fract_y
_atom_site_fract_z
Ba1 0.000 0.000 0.178
La1 0.000 0.000 0.500
Cu1 0.500 0.500 0.000
Cu2 0.500 0.500 0.343
O1 0.000 0.500 0.369
O2 0.500 0.000 0.000
O3 0.500 0.000 0.368
O4 0.500 0.500 0.157
# magnetization	0.000	μB/atom
# polymorph energy (0 for the lowest one)	0.000	eV/f.u.
# uncorrected formation energy	-172.81	kJ/mol of atoms


Entry 6:
# PBE Li2CuMo, optimized geometry
data_Li2CuMo
_cell_length_a 2.505
_cell_length_b 4.733
_cell_length_c 9.528
_cell_angle_alpha 90.00
_cell_angle_beta 90.00
_cell_angle_gamma 90.00
_space_group_name_H-M_alt 'I m m 2'
_space_group_IT_number 44
_space_group_name_Hall 'I 2 -2'
loop_
_atom_site_label
_atom_site_fract_x
_atom_site_fract_y
_atom_site_fract_z
Li1 0.000 0.000 0.000
Li2 0.000 0.500 0.248
Cu1 0.000 0.000 0.521
Mo1 0.000 0.500 0.776
# magnetization	0.000	μB/atom
# polymorph energy (0 for the lowest one)	0.890	eV/f.u.


Entry 7:
# PBE CdCo4Ni, optimized geometry
data_CdCo4Ni
_cell_length_a 6.751
_cell_length_b 6.751
_cell_length_c 6.751
_cell_angle_alpha 90.00
_cell_angle_beta 90.00
_cell_angle_gamma 90.00
_space_group_name_H-M_alt 'F -4 3 m'
_space_group_IT_number 216
_space_group_name_Hall 'F -4 2 3'
loop_
_atom_site_label
_atom_site_fract_x
_atom_site_fract_y
_atom_site_fract_z
Cd1 0.000 0.000 0.000
Co1 0.124 0.124 0.624
Ni1 0.250 0.250 0.250
# magnetization	1.229	μB/atom
# final energy	-134.6	eV per cell


Entry 8:
# PBE Nb3InH, optimized geometry
data_Nb3InH
_cell_length_a 5.646
_cell_length_b 5.696
_cell_length_c 5.881
_cell_angle_alpha 101.00
_cell_angle_beta 99.48
_cell_angle_gamma 117.06
_space_group_name_H-M_alt 'P 1'
_space_group_IT_number 1
_space_group_name_Hall 'P 1'
loop_
_atom_site_label
_atom_site_fract_x
_atom_site_fract_y
_atom_site_fract_z
Nb1 0.000 0.000 0.000
Nb2 0.002 0.998 0.501
Nb3 0.482 0.970 0.732
Nb4 0.488 0.966 0.258
Nb5 0.964 0.470 0.735
Nb6 0.977 0.496 0.250
In1 0.485 0.483 0.441
In2 0.487 0.486 0.941
H1 0.236 0.852 0.936
H2 0.734 0.113 0.059
# magnetization	0.000	μB/atom
# final energy	-73.2	eV per cell


Entry 9:
# PBE Li4Ag5Hg2, optimized geometry
data_Li4Ag5Hg2
_cell_length_a 13.963
_cell_length_b 5.510
_cell_length_c 5.468
_cell_angle_alpha 90.00
_cell_angle_beta 100.56
_cell_angle_gamma 90.00
_space_group_name_H-M_alt 'C 1 2/m 1'
_space_group_IT_number 12
_space_group_name_Hall '-C 2y'
loop_
_atom_site_label
_atom_site_fract_x
_atom_site_fract_y
_atom_site_fract_z
Li1 0.090 0.000 0.414
Li2 0.246 0.500 0.836
Ag1 0.000 0.500 0.500
Ag2 0.089 0.244 0.917
Hg1 0.211 0.500 0.333
# magnetization	0.000	μB/atom
# final energy	-47.7	eV per cell


Entry 10:
# PBE ThCuNiPb, optimized geometry
data_ThCuNiPb
_cell_length_a 6.859
_cell_length_b 6.859
_cell_length_c 6.859
_cell_angle_alpha 90.00
_cell_angle_beta 90.00
_cell_angle_gamma 90.00
_space_group_name_H-M_alt 'F -4 3 m'
_space_group_IT_number 216
_space_group_name_Hall 'F -4 2 3'
loop_
_atom_site_label
_atom_site_fract_x
_atom_site_fract_y
_atom_site_fract_z
Th1 0.000 0.000 0.000
Cu1 0.250 0.250 0.250
Ni1 0.250 0.250 0.750
Pb1 0.000 0.000 0.500
# magnetization	0.000	μB/atom
# final energy	-87.2	eV per cell


Entry 11:
# PBE Mo2PAu, optimized geometry
data_Mo2PAu
_cell_length_a 5.449
_cell_length_b 8.382
_cell_length_c 2.831
_cell_angle_alpha 90.00
_cell_angle_beta 103.80
_cell_angle_gamma 90.00
_space_group_name_H-M_alt 'C 1 2/m 1'
_space_group_IT_number 12
_space_group_name_Hall '-C 2y'
loop_
_atom_site_label
_atom_site_fract_x
_atom_site_fract_y
_atom_site_fract_z
Mo1 0.250 0.250 0.000
P1 0.000 0.000 0.500
Au1 0.000 0.500 0.500
# magnetization	0.000	μB/atom
# final energy	-57.9	eV per cell


Entry 12:
# PBE Li6LaAu6, optimized geometry
data_Li6LaAu6
_cell_length_a 5.398
_cell_length_b 9.107
_cell_length_c 9.272
_cell_angle_alpha 90.00
_cell_angle_beta 90.00
_cell_angle_gamma 90.00
_space_group_name_H-M_alt 'I m m m'
_space_group_IT_number 71
_space_group_name_Hall '-I 2 2'
loop_
_atom_site_label
_atom_site_fract_x
_atom_site_fract_y
_atom_site_fract_z
Li1 0.000 0.238 0.000
Li2 0.250 0.250 0.250
La1 0.000 0.500 0.500
Au1 0.000 0.000 0.200
Au2 0.000 0.164 0.500
Au3 0.000 0.500 0.157
# magnetization	0.000	μB/atom
# final energy	-85.2	eV per cell


Entry 13:
# PBE Co2SiAu, optimized geometry
data_Co2SiAu
_cell_length_a 2.726
_cell_length_b 3.465
_cell_length_c 5.573
_cell_angle_alpha 90.00
_cell_angle_beta 90.00
_cell_angle_gamma 90.00
_space_group_name_H-M_alt 'P m m 2'
_space_group_IT_number 25
_space_group_name_Hall 'P 2 -2'
loop_
_atom_site_label
_atom_site_fract_x
_atom_site_fract_y
_atom_site_fract_z
Co1 0.000 0.000 0.000
Co2 0.500 0.500 0.209
Si1 0.000 0.000 0.405
Au1 0.500 0.500 0.715
# magnetization	0.632	μB/atom
# uncorrected formation energy	6.40	kJ/mol of atoms


Entry 14:
# PBE Sr2Zn3Ga4Pt, optimized geometry
data_Sr2Zn3Ga4Pt
_cell_length_a 4.422
_cell_length_b 4.422
_cell_length_c 10.607
_cell_angle_alpha 90.00
_cell_angle_beta 90.00
_cell_angle_gamma 90.00
_space_group_name_H-M_alt 'P -4 m 2'
_space_group_IT_number 115
_space_group_name_Hall 'P -4 -2'
loop_
_atom_site_label
_atom_site_fract_x
_atom_site_fract_y
_atom_site_fract_z
Sr1 0.000 0.500 0.247
Zn1 0.000 0.000 0.000
Zn2 0.000 0.500 0.634
Ga1 0.000 0.000 0.500
Ga2 0.000 0.500 0.876
Ga3 0.500 0.500 0.500
Pt1 0.500 0.500 0.000
# magnetization	0.000	μB/atom
# final energy	-29.9	eV per cell


Entry 15:
# PBE NpCrS4, optimized geometry
data_NpCrS4
_cell_length_a 7.217
_cell_length_b 5.792
_cell_length_c 6.918
_cell_angle_alpha 90.00
_cell_angle_beta 118.13
_cell_angle_gamma 90.00
_space_group_name_H-M_alt 'P 1 21/c 1'
_space_group_IT_number 14
_space_group_name_Hall '-P 2ybc'
loop_
_atom_site_label
_atom_site_fract_x
_atom_site_fract_y
_atom_site_fract_z
Np1 0.000 0.000 0.000
Cr1 0.500 0.000 0.500
S1 0.204 0.232 0.356
S2 0.344 0.741 0.677
# magnetization	0.833	μB/atom
# polymorph energy (0 for the lowest one)	0.610	eV/f.u.
# uncorrected formation energy	-78.42	kJ/mol of atoms


Entry 16:
# PBE NaPmCdRh, optimized geometry
data_NaPmCdRh
_cell_length_a 7.015
_cell_length_b 7.015
_cell_length_c 7.015
_cell_angle_alpha 90.00
_cell_angle_beta 90.00
_cell_angle_gamma 90.00
_space_group_name_H-M_alt 'F -4 3 m'
_space_group_IT_number 216
_space_group_name_Hall 'F -4 2 3'
loop_
_atom_site_label
_atom_site_fract_x
_atom_site_fract_y
_atom_site_fract_z
Na1 0.000 0.000 0.000
Pm1 0.250 0.250 0.250
Cd1 0.250 0.250 0.750
Rh1 0.000 0.000 0.500
# magnetization	0.000	μB/atom
# final energy	-60.5	eV per cell


Entry 17:
# PBE LaTb2Y2Tm, optimized geometry
data_LaTb2Y2Tm
_cell_length_a 6.546
_cell_length_b 17.988
_cell_length_c 3.408
_cell_angle_alpha 90.00
_cell_angle_beta 90.00
_cell_angle_gamma 90.00
_space_group_name_H-M_alt 'P n n m'
_space_group_IT_number 58
_space_group_name_Hall '-P 2 2n'
loop_
_atom_site_label
_atom_site_fract_x
_atom_site_fract_y
_atom_site_fract_z
La1 0.000 0.000 0.000
Tb1 0.218 0.187 0.000
Y1 0.214 0.352 0.500
Tm1 0.000 0.500 0.000
# magnetization	0.000	μB/atom
# final energy	-59.7	eV per cell


Entry 18:
# PBE Ho8Sc, optimized geometry
data_Ho8Sc
_cell_length_a 10.496
_cell_length_b 10.496
_cell_length_c 4.934
_cell_angle_alpha 90.00
_cell_angle_beta 90.00
_cell_angle_gamma 90.00
_space_group_name_H-M_alt 'I 4/m m m'
_space_group_IT_number 139
_space_group_name_Hall '-I 4 2'
loop_
_atom_site_label
_atom_site_fract_x
_atom_site_fract_y
_atom_site_fract_z
Ho1 0.000 0.331 0.000
Ho2 0.165 0.165 0.500
Sc1 0.000 0.000 0.000
# magnetization	0.000	μB/atom
# final energy	-85.3	eV per cell


Entry 19:
# PBE CsSrTaO4, optimized geometry
data_CsSrTaO4
_cell_length_a 6.493
_cell_length_b 6.517
_cell_length_c 8.092
_cell_angle_alpha 90.00
_cell_angle_beta 105.19
_cell_angle_gamma 90.00
_space_group_name_H-M_alt 'P 1 21/m 1'
_space_group_IT_number 11
_space_group_name_Hall '-P 2yb'
loop_
_atom_site_label
_atom_site_fract_x
_atom_site_fract_y
_atom_site_fract_z
Cs1 0.201 0.250 0.426
Sr1 0.305 0.250 0.952
Ta1 0.226 0.750 0.151
O1 0.034 0.750 0.936
O2 0.050 0.750 0.300
O3 0.414 0.526 0.168
# magnetization	0.008	μB/atom
# uncorrected formation energy	-257.99	kJ/mol of atoms


Entry 20:
# PBE La4NdSn2, optimized geometry
data_La4NdSn2
_cell_length_a 9.052
_cell_length_b 10.607
_cell_length_c 5.002
_cell_angle_alpha 90.00
_cell_angle_beta 90.00
_cell_angle_gamma 90.00
_space_group_name_H-M_alt 'C m m m'
_space_group_IT_number 65
_space_group_name_Hall '-C 2 2'
loop_
_atom_site_label
_atom_site_fract_x
_atom_site_fract_y
_atom_site_fract_z
La1 0.210 0.000 0.000
La2 0.250 0.250 0.500
Nd1 0.000 0.500 0.500
Sn1 0.000 0.282 0.000
# magnetization	0.000	μB/atom
# polymorph energy (0 for the lowest one)	0.000	eV/f.u.


Entry 21:
# PBE SbTeAu, optimized geometry
data_SbTeAu
_cell_length_a 4.1763
_cell_length_b 4.1763
_cell_length_c 5.2009
_cell_angle_alpha 90.00
_cell_angle_beta 90.00
_cell_angle_gamma 120.00
_space_group_name_H-M_alt 'P 3 m 1'
_space_group_IT_number 156
_space_group_name_Hall 'P 3 -2"'
loop_
_atom_site_label
_atom_site_fract_x
_atom_site_fract_y
_atom_site_fract_z
Sb1 0.0000 0.0000 0.0000
Te1 0.3333 0.6667 0.4043
Au1 0.6667 0.3333 0.7142
# magnetization	0.000	μB/atom
# uncorrected formation energy	-9.12	kJ/mol of atoms


Entry 22:
# PBE SrAc8Pr4, optimized geometry
data_SrAc8Pr4
_cell_length_a 12.390
_cell_length_b 5.584
_cell_length_c 16.093
_cell_angle_alpha 90.00
_cell_angle_beta 94.37
_cell_angle_gamma 90.00
_space_group_name_H-M_alt 'C 1 2/m 1'
_space_group_IT_number 12
_space_group_name_Hall '-C 2y'
loop_
_atom_site_label
_atom_site_fract_x
_atom_site_fract_y
_atom_site_fract_z
Sr1 0.000 0.000 0.000
Ac1 0.044 0.500 0.387
Ac2 0.073 0.000 0.765
Ac3 0.192 0.500 0.919
Ac4 0.235 0.000 0.312
Pr1 0.123 0.500 0.161
Pr2 0.151 0.000 0.537
# magnetization	0.000	μB/atom
# final energy	-106.2	eV per cell


Entry 23:
# PBE HfAg3Sb, optimized geometry
data_HfAg3Sb
_cell_length_a 5.209
_cell_length_b 5.209
_cell_length_c 5.209
_cell_angle_alpha 90.00
_cell_angle_beta 90.00
_cell_angle_gamma 90.00
_space_group_name_H-M_alt 'P m -3 m'
_space_group_IT_number 221
_space_group_name_Hall '-P 4 2 3'
loop_
_atom_site_label
_atom_site_fract_x
_atom_site_fract_y
_atom_site_fract_z
Hf1 0.000 0.000 0.000
Ag1 0.000 0.000 0.500
Sb1 0.500 0.500 0.500
# magnetization	0.000	μB/atom
# polymorph energy (0 for the lowest one)	0.791	eV/f.u.
# uncorrected formation energy	111.89	kJ/mol of atoms


Entry 24:
# PBE MgTlGa, optimized geometry
data_MgTlGa
_cell_length_a 3.373
_cell_length_b 4.278
_cell_length_c 10.144
_cell_angle_alpha 90.00
_cell_angle_beta 99.22
_cell_angle_gamma 90.00
_space_group_name_H-M_alt 'P 1 m 1'
_space_group_IT_number 6
_space_group_name_Hall 'P -2y'
loop_
_atom_site_label
_atom_site_fract_x
_atom_site_fract_y
_atom_site_fract_z
Mg1 0.000 0.000 0.000
Mg2 0.406 0.500 0.821
Tl1 0.216 0.500 0.432
Tl2 0.829 0.000 0.665
Ga1 0.553 0.500 0.108
Ga2 0.637 0.000 0.261
# magnetization	0.000	μB/atom
# final energy	-14.0	eV per cell